Record 1
First-principles (PBE-GGA) data for a geometry-optimized Ac3Tb2Pm3 structure, as listed in Alexandria via LeMat-Bulk.

```
8
Lattice="6.1678 0.0000 0.0000 0.0000 6.1576 0.0000 0.0000 0.0000 7.8785" Properties=species:S:1:pos:R:3 pbc="T T T"
Pm 3.0839 3.0788 1.8958
Pm 0.0000 3.0788 0.0000
Pm 3.0839 3.0788 5.9827
Ac 3.0839 0.0000 0.0000
Ac 3.0839 0.0000 3.9393
Ac 0.0000 3.0788 3.9393
Tb 0.0000 0.0000 5.9801
Tb 0.0000 0.0000 1.8984
```

Calculated values
Formation enthalpy at 0 K in eV per formula unit: 0.89
Magnetic moment in μB per formula unit: 0.00



Record 2
First-principles (PBE-GGA) data for a geometry-optimized Ba4Sc3 structure, as listed in Alexandria via LeMat-Bulk.

```
7
Lattice="-14.4287 -10.5054 0.3180 -16.9011 -5.4580 1.7932 15.1794 8.5637 -3.8603" Properties=species:S:1:pos:R:3 pbc="T T T"
Ba -5.0414 -2.5687 0.3397
Ba -17.7101 -9.0238 1.1934
Ba -13.6197 -6.9396 0.9178
Ba -26.2885 -13.3947 1.7714
Sc -8.4367 -4.2987 0.5685
Sc 0.0000 0.0000 0.0000
Sc -22.8932 -11.6647 1.5426
```

Calculated values
Formation enthalpy at 0 K in eV per formula unit: 1.89
Magnetic moment in μB per formula unit: 0.00



Record 3
First-principles (PBE-GGA) data for a geometry-optimized Sm3SiSn2 structure, as listed in Alexandria via LeMat-Bulk.

```
24
Lattice="4.3458 0.0000 0.0000 0.0000 12.1408 0.0000 0.0000 0.0000 12.5409" Properties=species:S:1:pos:R:3 pbc="T T T"
Sm 3.2593 7.5287 11.8458
Sm 1.0864 4.6121 0.6951
Sm 1.0864 9.5284 9.1738
Sm 1.0864 8.6829 2.9034
Sm 3.2593 6.6655 7.6976
Sm 3.2593 10.6825 5.5753
Sm 3.2593 2.6124 3.3671
Sm 1.0864 0.5951 11.1137
Sm 1.0864 5.4754 4.8433
Sm 3.2593 3.4580 9.6375
Sm 3.2593 11.5458 1.4272
Sm 1.0864 1.4583 6.9656
Sn 3.2593 12.1094 8.6843
Sn 3.2593 6.1019 2.4139
Sn 1.0864 0.0315 3.8566
Sn 3.2593 2.4298 0.0432
Sn 1.0864 9.7111 12.4977
Sn 3.2593 3.6406 6.3136
Sn 1.0864 8.5002 6.2273
Sn 1.0864 6.0390 10.1270
Si 1.0864 4.5027 7.8629
Si 3.2593 10.5731 10.9485
Si 3.2593 7.6381 4.6780
Si 1.0864 1.5677 1.5924
```

Calculated values
ΔE_f (raw) in meV per atom: -671
Magnetic moment in μB per formula unit: 0.30



Record 4
First-principles (PBE-GGA) data for a geometry-optimized NiPt2Se structure, as listed in Alexandria via LeMat-Bulk.

```
4
Lattice="-0.3707 -4.0403 -2.2035 2.3331 -3.9358 -0.6188 -1.8195 -2.6512 3.2792" Properties=species:S:1:pos:R:3 pbc="T T T"
Se 0.0357 -2.6568 0.1142
Pt -1.8011 -2.6545 3.2480
Pt 0.0530 -5.3104 0.2597
Ni 0.1072 -7.9704 0.3427
```

Calculated values
ΔE_f (raw) in meV per atom: 117
Magnetic moment in μB per formula unit: 0.00



Record 5
First-principles (PBE-GGA) data for a geometry-optimized Hf6Co5Os structure, as listed in Alexandria via LeMat-Bulk.

```
12
Lattice="-0.9557 -4.3679 -0.4869 6.0255 -1.1316 -1.6649 2.0646 1.1325 6.7005" Properties=species:S:1:pos:R:3 pbc="T T T"
Hf 5.0773 -3.7264 2.7933
Hf 1.0545 -2.4718 -0.6669
Hf 5.0383 -1.2005 0.9318
Hf 2.0960 -3.1665 3.6168
Hf 6.0798 -1.8953 5.2155
Hf 2.0571 -0.6406 1.7553
Co 3.0128 -0.5658 -0.8325
Co 3.0600 -3.1010 1.0630
Co 4.0744 -1.2661 3.4856
Co 7.0816 -1.8304 2.6328
Co 0.0528 -2.5366 1.9158
Os 0.0000 0.0000 0.0000
```

Calculated values
Formation enthalpy at 0 K in eV per formula unit: -5.26
Magnetic moment in μB per formula unit: 3.24



Record 6
First-principles (PBE-GGA) data for a geometry-optimized EuY2Ga structure, as listed in Alexandria via LeMat-Bulk.

```
4
Lattice="-4.2669 1.9220 -0.2122 -1.8903 -4.3287 -1.1967 -0.6870 -1.0044 4.7183" Properties=species:S:1:pos:R:3 pbc="T T T"
Ga -2.1334 0.9610 -0.1061
Y -0.9452 -2.1644 -0.5983
Y -0.3435 -0.5022 2.3592
Eu -3.4221 -1.7056 1.6547
```

Calculated values
Formation enthalpy at 0 K in eV per formula unit: -0.70
Magnetic moment in μB per formula unit: 7.62



Record 7
First-principles (PBE-GGA) data for a geometry-optimized Tc2GeBi structure, as listed in Alexandria via LeMat-Bulk.

```
4
Lattice="2.9120 -2.4219 2.5633 -1.4022 -1.8174 3.9556 -0.5113 -4.5286 0.3819" Properties=species:S:1:pos:R:3 pbc="T T T"
Tc 0.7488 -6.5759 5.1757
Tc 0.2496 -2.1920 1.7252
Ge 0.0000 0.0000 0.0000
Bi 0.4992 -4.3839 3.4504
```

Calculated values
Formation enthalpy at 0 K in eV per formula unit: 1.52
Magnetic moment in μB per formula unit: 0.00



Record 8
First-principles (PBE-GGA) data for a geometry-optimized LaCo structure, as listed in Alexandria via LeMat-Bulk.

```
4
Lattice="3.9577 0.0000 0.0000 0.0000 3.9577 0.0000 0.0000 0.0000 5.7365" Properties=species:S:1:pos:R:3 pbc="T T T"
La 0.9894 0.9894 4.1537
La 2.9682 2.9682 1.5828
Co 0.9894 0.9894 1.1889
Co 2.9682 2.9682 4.5476
```

Calculated values
Formation enthalpy at 0 K in eV per formula unit: 0.35
Magnetic moment in μB per formula unit: 0.00



Record 9
First-principles (PBE-GGA) data for a geometry-optimized Ho4HgSb structure, as listed in Alexandria via LeMat-Bulk.

```
12
Lattice="-0.1936 6.7777 2.8313 -7.3045 0.1255 -0.7998 -0.7620 -2.7055 6.5350" Properties=species:S:1:pos:R:3 pbc="T T T"
Sb 0.0000 0.0000 0.0000
Sb -3.7491 3.4516 1.0158
Ho -5.4679 2.8152 5.5926
Ho -1.8660 2.1428 7.2653
Ho -5.0264 5.4186 2.8772
Ho -6.6391 -0.5519 4.0381
Ho -1.6210 4.7496 4.5284
Ho -3.2338 -1.2209 5.6893
Ho -6.3941 2.0549 1.3012
Ho -2.7923 1.3825 2.9739
Hg -4.0333 -1.2900 2.8676
Hg -0.4778 2.0361 4.6832
```

Calculated values
ΔE_f (raw) in meV per atom: -256
Magnetic moment in μB per formula unit: 0.00



Record 10
First-principles (PBE-GGA) data for a geometry-optimized Pm2Sm4Sn3O2 structure, as listed in Alexandria via LeMat-Bulk.

```
11
Lattice="-4.0826 -1.2519 -2.1089 -1.3695 -2.2335 3.9772 -2.7646 12.5806 3.2616" Properties=species:S:1:pos:R:3 pbc="T T T"
Sm -2.9480 1.1637 -0.3616
Sm -5.2688 7.9315 5.4915
Sm -6.6253 8.4223 2.4485
Sm -1.5914 0.6729 2.6814
Sn 0.0000 0.0000 0.0000
Sn -6.2684 5.2495 3.6411
Sn -1.9483 3.8457 1.4888
Pm -4.8596 2.4687 2.5646
Pm -3.3571 6.6265 2.5653
O -4.4011 8.6874 3.3632
O -3.8156 0.4079 1.7667
```

Calculated values
ΔE_f (raw) in meV per atom: -1498
Magnetic moment in μB per formula unit: 0.00



Record 11
First-principles (PBE-GGA) data for a geometry-optimized Dy2Al2GaRu5 structure, as listed in Alexandria via LeMat-Bulk.

```
20
Lattice="-3.0973 0.4868 -1.1409 -1.3858 -9.8725 -0.4504 -3.4416 0.0558 9.3671" Properties=species:S:1:pos:R:3 pbc="T T T"
Al -0.9581 -3.6557 1.0411
Al -3.8694 -6.1610 7.8756
Al -2.4840 -8.5785 3.0831
Al -2.3435 -1.2383 5.8336
Ru -3.2695 0.2713 4.1131
Ru -3.9085 -2.7358 4.5649
Ru -2.2415 -4.6929 -0.7956
Ru -4.4061 -0.3326 6.9413
Ru -2.0354 -1.6787 -0.0692
Ru -3.2039 -4.0549 2.0892
Ru -5.8893 -7.6512 7.8450
Ru -3.5186 -8.9973 0.8345
Ru -4.0162 -6.5941 3.2109
Ru -4.7208 -5.2750 5.6866
Ga -2.4137 -4.9084 4.4583
Ga 0.0000 0.0000 0.0000
Dy -3.4573 -8.1510 5.9079
Dy -3.3110 -3.2059 7.6208
Dy -1.3701 -1.6658 3.0088
Dy -1.5164 -6.6109 1.2959
```

Calculated values
Formation enthalpy at 0 K in eV per formula unit: -3.78
Magnetic moment in μB per formula unit: 1.45



Record 12
First-principles (PBE-GGA) data for a geometry-optimized ZrCu2Re structure, as listed in Alexandria via LeMat-Bulk.

```
4
Lattice="4.7863 0.0114 0.0000 1.5196 4.5387 0.0000 -3.1530 -2.2750 2.7914" Properties=species:S:1:pos:R:3 pbc="T T T"
Cu 0.0000 0.0000 0.0000
Cu 3.1530 2.2750 0.0000
Re 0.7598 2.2693 1.3957
Zr 2.3932 0.0057 1.3957
```

Calculated values
Formation enthalpy at 0 K in eV per formula unit: 0.38
Magnetic moment in μB per formula unit: 0.00